Mg2AlAg: relaxed, GGA-PBE.

Summary:
* crystal system: orthorhombic
* DOS at the Fermi energy: 1.692 states/eV/cell
* energy: -10.1 eV/cell
* ΔE_f: -0.3 eV/f.u.

Cell lengths 4.959, 4.959, 3.180 Å; angles 90.00, 90.00, 103.31 degrees
Element x y z (fractional)
Mg 0.000 0.000 0.000
Mg 0.500 0.500 0.000
Al 0.000 0.500 0.500
Ag 0.500 0.000 0.500

---

YCrBr2: relaxed, GGA-PBE.

Summary:
* crystal system: orthorhombic
* DOS at the Fermi energy: 1.524 states/eV/cell
* energy: -21.0 eV/cell
* formation energy (no corrections): -0.3839 eV/atom
* excess energy over the best structure of this formula in the dataset: 196 meV per atom

Cell lengths 7.351, 7.351, 7.351 Å; angles 152.59, 140.36, 48.87 degrees
Last column: magnetic moment on the atom in μB.
Element x y z (fractional)
Br 0.061 0.061 0.000  0.02
Br 0.766 0.266 0.500  0.03
Cr 0.435 0.435 0.000  4.10
Y 0.237 0.737 0.500  -0.11

---

Pr2SnP2N6: relaxed, GGA-PBE.

Summary:
* crystal system: triclinic
* energy: -80.5 eV/cell
* formation energy (no corrections): -0.5647 eV/atom

Cell lengths 6.793, 5.792, 6.006 Å; angles 107.16, 75.64, 65.52 degrees
Element x y z (fractional)
Pr 0.820 0.406 0.784
Pr 0.180 0.594 0.216
Sn 0.500 0.000 0.500
P 0.237 0.722 0.754
P 0.763 0.278 0.246
N 0.394 0.732 0.907
N 0.851 0.497 0.262
N 0.173 0.908 0.606
N 0.149 0.503 0.738
N 0.827 0.092 0.394
N 0.606 0.268 0.093

---

ScAlSi2Rh: relaxed, GGA-PBE.

Summary:
* crystal system: tetragonal
* DOS at the Fermi energy: 3.332 states/eV/cell
* energy: -28.0 eV/cell
* formation energy (no corrections): 0.0480 eV/atom

Cell lengths 4.561, 4.976, 4.561 Å; angles 90.00, 90.00, 90.00 degrees
Element x y z (fractional)
Sc 0.000 0.500 0.000
Si 0.000 0.000 0.500
Si 0.500 0.000 0.000
Rh 0.000 0.000 0.000
Al 0.500 0.500 0.500

---

CaBrCl: relaxed, GGA-PBE.

Summary:
* crystal system: trigonal
* DOS at the Fermi energy: 0.000 states/eV/cell
* energy: -12.2 eV/cell
* formation energy (no corrections): -2.2127 eV/atom

Cell lengths 4.207, 4.207, 6.681 Å; angles 90.00, 90.00, 120.00 degrees
Element x y z (fractional)
Ca 0.333 0.667 0.347
Br 0.000 0.000 0.105
Cl 0.667 0.333 0.548

---

Tb15Ce2Dy2: relaxed, GGA-PBE.

Summary:
* crystal system: trigonal
* DOS at the Fermi energy: 36.422 states/eV/cell
* energy: -84.9 eV/cell
* ΔE_f: 5.7 eV/f.u.

Cell lengths 8.723, 8.723, 8.723 Å; angles 79.42, 79.42, 79.42 degrees
Last column: magnetic moment on the atom in μB.
Element x y z (fractional)
Tb 0.000 0.500 0.000  0.01
Tb 0.000 0.000 0.500  0.01
Tb 0.500 0.000 0.000  0.01
Tb 0.303 0.000 0.697  0.01
Tb 0.697 0.303 0.000  0.01
Tb 0.000 0.697 0.303  0.01
Tb 0.303 0.697 0.000  0.01
Tb 0.000 0.303 0.697  0.01
Tb 0.697 0.000 0.303  0.01
Tb 0.368 0.851 0.368  0.00
Tb 0.368 0.368 0.851  0.00
Tb 0.851 0.368 0.368  0.00
Tb 0.632 0.149 0.632  0.00
Tb 0.632 0.632 0.149  0.00
Tb 0.149 0.632 0.632  0.00
Ce 0.925 0.925 0.925  0.30
Ce 0.075 0.075 0.075  0.30
Dy 0.681 0.681 0.681  0.00
Dy 0.319 0.319 0.319  0.00

---

Al3Sn5Au12: relaxed, GGA-PBE.

Summary:
* crystal system: cubic
* DOS at the Fermi energy: 37.781 states/eV/cell
* energy: -285.6 eV/cell
* ΔE_f: -0.8 eV/f.u.

Cell lengths 13.584, 13.584, 13.584 Å; angles 109.47, 109.47, 109.47 degrees
Element x y z (fractional)
Al 0.750 0.375 0.125
Al 0.875 0.750 0.125
Al 0.375 0.750 0.625
Al 0.250 0.125 0.375
Al 0.875 0.125 0.250
Al 0.375 0.625 0.250
Al 0.625 0.375 0.750
Al 0.125 0.875 0.750
Al 0.750 0.875 0.625
Al 0.625 0.250 0.375
Al 0.125 0.250 0.875
Al 0.250 0.625 0.875
Sn 0.125 0.375 0.250
Sn 0.000 0.500 0.000
Sn 0.000 0.000 0.000
Sn 0.375 0.250 0.125
Sn 0.500 0.000 0.500
Sn 0.500 0.500 0.000
Sn 0.125 0.750 0.375
Sn 0.750 0.125 0.875
Sn 0.750 0.625 0.375
Sn 0.375 0.125 0.750
Sn 0.625 0.875 0.250
Sn 0.500 0.500 0.500
Sn 0.500 0.000 0.000
Sn 0.000 0.000 0.500
Sn 0.250 0.375 0.625
Sn 0.250 0.875 0.125
Sn 0.000 0.500 0.500
Sn 0.875 0.250 0.625
Sn 0.625 0.750 0.875
Sn 0.875 0.625 0.750
Au 0.737 0.138 0.074
Au 0.337 0.574 0.435
Au 0.926 0.362 0.263
Au 0.574 0.237 0.138
Au 0.599 0.737 0.663
Au 0.926 0.565 0.163
Au 0.337 0.763 0.401
Au 0.065 0.901 0.138
Au 0.565 0.926 0.663
Au 0.737 0.599 0.163
Au 0.763 0.426 0.362
Au 0.837 0.935 0.074
Au 0.138 0.737 0.574
Au 0.362 0.435 0.099
Au 0.099 0.935 0.362
Au 0.401 0.138 0.565
Au 0.099 0.163 0.237
Au 0.426 0.663 0.065
Au 0.837 0.901 0.263
Au 0.138 0.401 0.065
Au 0.362 0.926 0.763
Au 0.565 0.638 0.401
Au 0.935 0.837 0.574
Au 0.763 0.337 0.901
Au 0.435 0.362 0.599
Au 0.065 0.163 0.426
Au 0.237 0.663 0.099
Au 0.163 0.099 0.737
Au 0.638 0.074 0.237
Au 0.862 0.599 0.935
Au 0.574 0.337 0.935
Au 0.599 0.862 0.435
Au 0.901 0.837 0.763
Au 0.901 0.065 0.638
Au 0.862 0.263 0.426
Au 0.163 0.065 0.926
Au 0.638 0.565 0.901
Au 0.435 0.074 0.337
Au 0.263 0.401 0.837
Au 0.237 0.574 0.638
Au 0.935 0.099 0.862
Au 0.663 0.237 0.599
Au 0.426 0.763 0.862
Au 0.074 0.435 0.837
Au 0.401 0.263 0.337
Au 0.074 0.638 0.737
Au 0.663 0.426 0.565
Au 0.263 0.862 0.926

---

Pm4Pd: relaxed, GGA-PBE.

Summary:
* crystal system: orthorhombic
* DOS at the Fermi energy: 11.850 states/eV/cell
* energy: -50.8 eV/cell
* ΔE_f: -1.2 eV/f.u.
* excess energy over the best structure of this formula in the dataset: 0 meV per atom

Cell lengths 7.521, 7.521, 7.500 Å; angles 104.34, 104.34, 120.40 degrees
Element x y z (fractional)
Pm 0.633 0.477 0.740
Pm 0.738 0.893 0.260
Pm 0.768 0.026 0.843
Pm 0.183 0.925 0.157
Pm 0.276 0.518 0.343
Pm 0.175 0.933 0.657
Pm 0.143 0.488 0.760
Pm 0.727 0.383 0.240
Pd 0.330 0.330 0.000
Pd 0.580 0.080 0.500

---

HgTePd2: relaxed, GGA-PBE.

Summary:
* crystal system: trigonal
* DOS at the Fermi energy: 1.435 states/eV/cell
* energy: -14.3 eV/cell
* formation energy (no corrections): -0.1181 eV/atom
* excess energy over the best structure of this formula in the dataset: 135 meV per atom

Cell lengths 3.416, 3.416, 8.304 Å; angles 78.13, 78.13, 60.00 degrees
Element x y z (fractional)
Hg 0.500 0.500 0.501
Te 0.667 0.667 0.999
Pd 0.080 0.080 0.760
Pd 0.253 0.253 0.240

---

CePm5Si6: relaxed, GGA-PBE.

Summary:
* crystal system: monoclinic
* DOS at the Fermi energy: 12.878 states/eV/cell
* energy: -67.5 eV/cell
* formation energy (no corrections): -0.4431 eV/atom

Cell lengths 7.258, 7.355, 7.326 Å; angles 59.87, 80.33, 70.46 degrees
Element x y z (fractional)
Ce 0.000 0.000 0.000
Pm 0.500 0.169 0.662
Pm 0.000 0.333 0.333
Pm 0.500 0.500 0.000
Pm 0.000 0.667 0.667
Pm 0.500 0.831 0.338
Si 0.755 0.082 0.327
Si 0.245 0.591 0.327
Si 0.248 0.245 0.000
Si 0.752 0.755 0.000
Si 0.755 0.409 0.673
Si 0.245 0.918 0.673

---

SrNiIr: relaxed, GGA-PBE.

Summary:
* crystal system: cubic
* DOS at the Fermi energy: 7.280 states/eV/cell
* energy: -12.4 eV/cell
* ΔE_f: 3.9 eV/f.u.
* excess energy over the best structure of this formula in the dataset: 1484 meV per atom

Cell lengths 4.617, 4.617, 4.617 Å; angles 60.00, 60.00, 60.00 degrees
Last column: magnetic moment on the atom in μB.
Element x y z (fractional)
Ir 0.000 0.000 0.000  0.29
Ni 0.500 0.500 0.500  0.43
Sr 0.750 0.750 0.750  -0.02

---

Sr4RuCl: relaxed, GGA-PBE.

Summary:
* crystal system: cubic
* DOS at the Fermi energy: 6.784 states/eV/cell
* energy: -13.5 eV/cell
* formation energy (no corrections): 0.7241 eV/atom

Cell lengths 7.062, 7.062, 7.062 Å; angles 60.00, 60.00, 60.00 degrees
Last column: magnetic moment on the atom in μB.
Element x y z (fractional)
Sr 0.879 0.374 0.374  -0.09
Sr 0.374 0.374 0.879  -0.09
Sr 0.374 0.879 0.374  -0.09
Sr 0.374 0.374 0.374  -0.09
Ru 0.000 0.000 0.000  1.83
Cl 0.750 0.750 0.750  0.01

---

LaSnN2: relaxed, GGA-PBE.

Summary:
* crystal system: trigonal
* DOS at the Fermi energy: 3.363 states/eV/cell
* energy: -26.8 eV/cell
* formation energy (no corrections): -0.2944 eV/atom
* excess energy over the best structure of this formula in the dataset: 59 meV per atom

Cell lengths 6.786, 6.786, 6.786 Å; angles 33.24, 33.24, 33.24 degrees
Element x y z (fractional)
N 0.896 0.896 0.896
N 0.104 0.104 0.104
Sn 0.000 0.000 0.000
La 0.500 0.500 0.500

---

TlP2Br: relaxed, GGA-PBE.

Summary:
* crystal system: triclinic
* energy: -14.8 eV/cell
* formation energy (no corrections): 0.0265 eV/atom
* excess energy over the best structure of this formula in the dataset: 146 meV per atom

Cell lengths 4.606, 5.601, 6.098 Å; angles 78.41, 68.54, 66.17 degrees
Element x y z (fractional)
Tl 0.463 0.560 0.278
P 0.714 0.965 0.386
P 0.549 0.952 0.732
Br 0.221 0.442 0.870

---

Er6Cu5Rh: relaxed, GGA-PBE.

Summary:
* crystal system: orthorhombic
* DOS at the Fermi energy: 7.574 states/eV/cell
* energy: -59.9 eV/cell
* ΔE_f: -4.7 eV/f.u.

Cell lengths 4.845, 6.864, 7.682 Å; angles 90.00, 71.62, 90.00 degrees
Element x y z (fractional)
Rh 0.000 0.000 0.000
Cu 0.665 0.500 0.671
Cu 0.331 0.000 0.339
Cu 0.000 0.500 0.000
Cu 0.669 0.000 0.661
Cu 0.335 0.500 0.329
Er 0.835 0.751 0.330
Er 0.835 0.249 0.330
Er 0.500 0.246 0.000
Er 0.500 0.754 0.000
Er 0.165 0.751 0.670
Er 0.165 0.249 0.670

---

LuInHgPt: relaxed, GGA-PBE.

Summary:
* crystal system: cubic
* DOS at the Fermi energy: 1.782 states/eV/cell
* energy: -16.0 eV/cell
* ΔE_f: -2.4 eV/f.u.

Cell lengths 4.899, 4.899, 4.899 Å; angles 60.00, 60.00, 60.00 degrees
Element x y z (fractional)
Lu 0.500 0.500 0.500
Hg 0.250 0.250 0.250
Pt 0.750 0.750 0.750
In 0.000 0.000 0.000

---

Ag12Hg3F5: relaxed, GGA-PBE.

Summary:
* crystal system: cubic
* DOS at the Fermi energy: 23.076 states/eV/cell
* energy: -202.1 eV/cell
* formation energy (no corrections): -0.3019 eV/atom

Cell lengths 12.969, 12.969, 12.969 Å; angles 109.47, 109.47, 109.47 degrees
Element x y z (fractional)
Hg 0.750 0.375 0.125
Hg 0.875 0.750 0.125
Hg 0.375 0.750 0.625
Hg 0.250 0.125 0.375
Hg 0.875 0.125 0.250
Hg 0.375 0.625 0.250
Hg 0.625 0.375 0.750
Hg 0.125 0.875 0.750
Hg 0.750 0.875 0.625
Hg 0.625 0.250 0.375
Hg 0.125 0.250 0.875
Hg 0.250 0.625 0.875
F 0.125 0.375 0.250
F 0.000 0.500 0.000
F 0.000 0.000 0.000
F 0.375 0.250 0.125
F 0.500 0.000 0.500
F 0.500 0.500 0.000
F 0.125 0.750 0.375
F 0.750 0.125 0.875
F 0.750 0.625 0.375
F 0.375 0.125 0.750
F 0.625 0.875 0.250
F 0.500 0.500 0.500
F 0.500 0.000 0.000
F 0.000 0.000 0.500
F 0.250 0.375 0.625
F 0.250 0.875 0.125
F 0.000 0.500 0.500
F 0.875 0.250 0.625
F 0.625 0.750 0.875
F 0.875 0.625 0.750
Ag 0.719 0.123 0.044
Ag 0.326 0.544 0.421
Ag 0.956 0.377 0.281
Ag 0.544 0.219 0.123
Ag 0.595 0.719 0.674
Ag 0.956 0.579 0.174
Ag 0.326 0.781 0.405
Ag 0.079 0.905 0.123
Ag 0.579 0.956 0.674
Ag 0.719 0.595 0.174
Ag 0.781 0.456 0.377
Ag 0.826 0.921 0.044
Ag 0.123 0.719 0.544
Ag 0.377 0.421 0.095
Ag 0.095 0.921 0.377
Ag 0.405 0.123 0.579
Ag 0.095 0.174 0.219
Ag 0.456 0.674 0.079
Ag 0.826 0.905 0.281
Ag 0.123 0.405 0.079
Ag 0.377 0.956 0.781
Ag 0.579 0.623 0.405
Ag 0.921 0.826 0.544
Ag 0.781 0.326 0.905
Ag 0.421 0.377 0.595
Ag 0.079 0.174 0.456
Ag 0.219 0.674 0.095
Ag 0.174 0.095 0.719
Ag 0.623 0.044 0.219
Ag 0.877 0.595 0.921
Ag 0.544 0.326 0.921
Ag 0.595 0.877 0.421
Ag 0.905 0.826 0.781
Ag 0.905 0.079 0.623
Ag 0.877 0.281 0.456
Ag 0.174 0.079 0.956
Ag 0.623 0.579 0.905
Ag 0.421 0.044 0.326
Ag 0.281 0.405 0.826
Ag 0.219 0.544 0.623
Ag 0.921 0.095 0.877
Ag 0.674 0.219 0.595
Ag 0.456 0.781 0.877
Ag 0.044 0.421 0.826
Ag 0.405 0.281 0.326
Ag 0.044 0.623 0.719
Ag 0.674 0.456 0.579
Ag 0.281 0.877 0.956

---

LaSbMo3: relaxed, GGA-PBE.

Summary:
* crystal system: cubic
* DOS at the Fermi energy: 7.188 states/eV/cell
* energy: -34.8 eV/cell
* formation energy (no corrections): 1.3479 eV/atom
* excess energy over the best structure of this formula in the dataset: 0 meV per atom

Cell lengths 5.000, 5.000, 5.000 Å; angles 90.00, 90.00, 90.00 degrees
Element x y z (fractional)
Sb 0.000 0.000 0.000
Mo 0.000 0.500 0.000
Mo 0.000 0.000 0.500
Mo 0.500 0.000 0.000
La 0.500 0.500 0.500

---

| no. | mass density (g/cm3) |
| --- | --- |
| 1 | 4.00 |
| 2 | 4.30 |
| 3 | 4.88 |
| 4 | 3.71 |
| 5 | 2.52 |
| 6 | 7.83 |
| 7 | 10.46 |
| 8 | 7.19 |
| 9 | 11.02 |
| 10 | 5.38 |
| 11 | 8.08 |
| 12 | 3.25 |
| 13 | 5.67 |
| 14 | 4.30 |
| 15 | 9.76 |
| 16 | 13.69 |
| 17 | 7.88 |
| 18 | 7.29 |